[1]
# Ba2Sr2Pd, relaxed, DFT PBE-GGA
data_Ba2Sr2Pd
_chemical_formula_sum 'Ba4 Sr4 Pd2'
_cell_length_a 8.098
_cell_length_b 8.098
_cell_length_c 7.008
_cell_angle_alpha 90.00
_cell_angle_beta 90.00
_cell_angle_gamma 90.00
_symmetry_space_group_name_H-M 'P 1'
_symmetry_Int_Tables_number 1
loop_
_symmetry_equiv_pos_as_xyz
'x,y,z'
loop_
_atom_site_label
_atom_site_fract_x
_atom_site_fract_y
_atom_site_fract_z
Sr1 0.171 0.329 0.000
Sr2 0.829 0.671 0.000
Sr3 0.329 0.829 0.000
Sr4 0.671 0.171 0.000
Pd1 0.000 0.000 0.000
Pd2 0.500 0.500 0.000
Ba1 0.680 0.820 0.500
Ba2 0.320 0.180 0.500
Ba3 0.180 0.680 0.500
Ba4 0.820 0.320 0.500
# formation enthalpy at 0 K: -0.07 eV per atom
# energy relative to the lowest polymorph listed for this composition: 192 meV per atom
# mass density: 4.0 g cm⁻³
# VASP energy: -2.55 eV/atom



[2]
# LiZrSn2, relaxed, DFT PBE-GGA
data_LiZrSn2
_chemical_formula_sum 'Li1 Zr1 Sn2'
_cell_length_a 3.536
_cell_length_b 3.536
_cell_length_c 6.769
_cell_angle_alpha 90.00
_cell_angle_beta 90.00
_cell_angle_gamma 90.00
_symmetry_space_group_name_H-M 'P 1'
_symmetry_Int_Tables_number 1
loop_
_symmetry_equiv_pos_as_xyz
'x,y,z'
loop_
_atom_site_label
_atom_site_fract_x
_atom_site_fract_y
_atom_site_fract_z
Zr1 0.500 0.500 0.500
Sn1 0.000 0.000 0.772
Sn2 0.000 0.000 0.228
Li1 0.500 0.500 0.000
# formation enthalpy at 0 K: -0.32 eV per atom
# energy relative to the lowest polymorph listed for this composition: 27 meV per atom
# mass density: 6.6 g cm⁻³
# VASP energy: -4.93 eV/atom



[3]
# LaPmTePb, relaxed, DFT PBE-GGA
data_LaPmTePb
_chemical_formula_sum 'La1 Pm1 Te1 Pb1'
_cell_length_a 5.590
_cell_length_b 5.590
_cell_length_c 5.590
_cell_angle_alpha 60.00
_cell_angle_beta 60.00
_cell_angle_gamma 60.00
_symmetry_space_group_name_H-M 'P 1'
_symmetry_Int_Tables_number 1
loop_
_symmetry_equiv_pos_as_xyz
'x,y,z'
loop_
_atom_site_label
_atom_site_fract_x
_atom_site_fract_y
_atom_site_fract_z
Pm1 0.750 0.750 0.750
La1 0.250 0.250 0.250
Te1 0.500 0.500 0.500
Pb1 0.000 0.000 0.000
# energy relative to the lowest polymorph listed for this composition: 229 meV per atom
# mass density: 8.3 g cm⁻³
# VASP energy: -4.97 eV/atom



[4]
# BaI3O6, relaxed, DFT PBE-GGA
data_BaI3O6
_chemical_formula_sum 'Ba1 I3 O6'
_cell_length_a 4.336
_cell_length_b 7.556
_cell_length_c 7.556
_cell_angle_alpha 116.43
_cell_angle_beta 101.03
_cell_angle_gamma 101.03
_symmetry_space_group_name_H-M 'P 1'
_symmetry_Int_Tables_number 1
loop_
_symmetry_equiv_pos_as_xyz
'x,y,z'
loop_
_atom_site_label
_atom_site_fract_x
_atom_site_fract_y
_atom_site_fract_z
O1 0.215 0.625 0.000
O2 0.215 0.000 0.625
O3 0.886 0.000 0.251
O4 0.886 0.251 0.000
O5 0.635 0.749 0.749
O6 0.590 0.375 0.375
I1 0.321 0.512 0.512
I2 0.809 0.000 0.488
I3 0.809 0.488 0.000
Ba1 0.294 0.000 0.000
# mass density: 4.9 g cm⁻³
# VASP energy: -4.32 eV/atom